[1]
A plane-wave DFT calculation with PBE was carried out for crystalline Li3Eu at its relaxed geometry. Values from VASP.

Structure (Quantum ESPRESSO input):
```
&SYSTEM
  ibrav = 0, nat = 8, ntyp = 2
/
ATOMIC_SPECIES
Li 6.94 Li.upf
Eu 151.96 Eu.upf
CELL_PARAMETERS angstrom
7.0428 0.0000 0.0000
-3.5214 6.0993 0.0000
0.0000 0.0000 5.2292
ATOMIC_POSITIONS crystal
Li 0.1393 0.2786 0.2500
Li 0.1393 0.8607 0.2500
Li 0.2786 0.1393 0.7500
Li 0.7214 0.8607 0.2500
Li 0.8607 0.1393 0.7500
Li 0.8607 0.7214 0.7500
Eu 0.3333 0.6667 0.7500
Eu 0.6667 0.3333 0.2500
```

As for the energy of formation from the pure elements: 0.094 eV per atom. For the total energy, the calculation gives -15.64 eV/f.u.

[2]
A plane-wave DFT calculation with PBE was carried out for crystalline BaZnHg2 at its relaxed geometry. Values from VASP.

Structure (Quantum ESPRESSO input):
```
&SYSTEM
  ibrav = 0, nat = 8, ntyp = 3
/
ATOMIC_SPECIES
Ba 137.33 Ba.upf
Zn 65.41 Zn.upf
Hg 200.59 Hg.upf
CELL_PARAMETERS angstrom
-2.7421 2.7421 9.1781
2.7421 -2.7421 9.1781
2.7421 2.7421 -9.1781
ATOMIC_POSITIONS crystal
Ba 0.0000 0.0000 0.0000
Ba 0.7500 0.2500 0.5000
Zn 0.2500 0.7500 0.5000
Zn 0.5000 0.5000 0.0000
Hg 0.2768 0.6250 0.1518
Hg 0.3750 0.5268 0.6518
Hg 0.4732 0.1250 0.8482
Hg 0.8750 0.7232 0.3482
```

As for the energy of formation from the pure elements: -0.193 eV per atom. For the total energy, the calculation gives -4.57 eV/f.u.